Entry 1:
A plane-wave DFT calculation with PBE was carried out for a relaxed structure of TlHgSb2.

The space group is R3m (No. 160, hexagonal axes) and the conventional cell measures 4.5973, 4.5973 and 19.7874 Å, with angles of 90.00, 90.00 and 120.00 degrees. The asymmetric unit holds Tl at (0.0000, 0.0000, 0.0000), Hg at (0.0000, 0.0000, 0.1724), Sb at (0.0000, 0.0000, 0.5777) and Sb at (0.0000, 0.0000, 0.7617).

The total magnetic moment is 0.0 μB/cell. The value obtained for the calculated total energy is -2.539 eV/atom.

---

Entry 2:
A plane-wave DFT calculation with PBE was carried out for a relaxed structure of CoTc2.

The space group is P-3m1 (No. 164) and the conventional cell measures 2.6900, 2.6900 and 6.4619 Å, with angles of 90.00, 90.00 and 120.00 degrees. The asymmetric unit holds Co at (0.0000, 0.0000, 0.0000) and Tc at (0.3333, 0.6667, 0.3286).

The total magnetic moment is 1.2 μB/cell. The energy of formation from the pure elements is 0.14 eV per atom.

---

Entry 3:
A plane-wave DFT calculation with PBE was carried out for a relaxed structure of HoTl2In.

The space group is P4/mmm (No. 123) and the conventional cell measures 3.968, 3.968 and 6.943 Å, with angles of 90.00, 90.00 and 90.00 degrees. The asymmetric unit holds Ho at (0.000, 0.000, 0.000), Tl at (0.500, 0.500, 0.255) and In at (0.000, 0.000, 0.500).

The total magnetic moment is 0.0 μB/cell. The energy of formation from the pure elements is -0.12 eV per atom.

---

Entry 4:
A plane-wave DFT calculation with PBE was carried out for a relaxed structure of Tl2TcSe.

The space group is Fm-3m (No. 225) and the conventional cell measures 7.340, 7.340 and 7.340 Å, with angles of 90.00, 90.00 and 90.00 degrees. The asymmetric unit holds Tl at (0.250, 0.250, 0.250), Tc at (0.000, 0.000, 0.000) and Se at (0.000, 0.000, 0.500).

The total magnetic moment is 13.3 μB/cell. The value obtained for the calculated total energy is -3.801 eV/atom.

---

Entry 5:
A plane-wave DFT calculation with PBE was carried out for a relaxed structure of LiSbH3.

The space group is Pm-3m (No. 221) and the conventional cell measures 4.181, 4.181 and 4.181 Å, with angles of 90.00, 90.00 and 90.00 degrees. The asymmetric unit holds Li at (0.000, 0.000, 0.000), Sb at (0.500, 0.500, 0.500) and H at (0.000, 0.500, 0.500).

The total magnetic moment is 0.0 μB/cell. The value obtained for the calculated total energy is -2.838 eV/atom.

---

Entry 6:
A plane-wave DFT calculation with PBE was carried out for a relaxed structure of TbUN3.

The space group is Cmmm (No. 65) and the conventional cell measures 7.904, 10.992 and 3.523 Å, with angles of 90.00, 90.00 and 90.00 degrees. The asymmetric unit holds Tb at (0.000, 0.000, 0.000), Tb at (0.000, 0.500, 0.000), U at (0.250, 0.250, 0.500), N at (0.000, 0.158, 0.500) and N at (0.213, 0.363, 0.000).

The total magnetic moment is 0.2 μB/cell. The value obtained for the calculated total energy is -9.408 eV/atom.

---

Entry 7:
A plane-wave DFT calculation with PBE was carried out for a relaxed structure of AcNdRh2.

The space group is P4/mmm (No. 123) and the conventional cell measures 3.616, 3.616 and 7.291 Å, with angles of 90.00, 90.00 and 90.00 degrees. The asymmetric unit holds Ac at (0.000, 0.000, 0.000), Nd at (0.000, 0.000, 0.500) and Rh at (0.500, 0.500, 0.268).

The total magnetic moment is 0.0 μB/cell. The energy of formation from the pure elements is -0.57 eV per atom.

---

Entry 8:
A plane-wave DFT calculation with PBE was carried out for a relaxed structure of IrSe2.

The space group is I4_1/amd (No. 141, origin choice 2) and the conventional cell measures 4.902, 4.902 and 20.290 Å, with angles of 90.00, 90.00 and 90.00 degrees. The asymmetric unit holds Ir at (0.000, 0.250, 0.295), Se at (0.000, 0.250, 0.019) and Se at (0.000, 0.250, 0.171).

The total magnetic moment is 0.0 μB/cell. The value obtained for the calculated total energy is -5.073 eV/atom.

---

Entry 9:
A plane-wave DFT calculation with PBE was carried out for a relaxed structure of Pm3PbCCl.

The space group is P2_1/m (No. 11) and the conventional cell measures 8.418, 3.773 and 10.579 Å, with angles of 90.00, 103.73 and 90.00 degrees. The asymmetric unit holds Pm at (0.076, 0.250, 0.391), Pm at (0.137, 0.250, 0.883), Pm at (0.363, 0.750, 0.657), Pb at (0.268, 0.750, 0.212), C at (0.154, 0.250, 0.639) and Cl at (0.383, 0.750, 0.911).

The total magnetic moment is 0.0 μB/cell. The value obtained for the calculated total energy is -5.463 eV/atom.

---

Entry 10:
A plane-wave DFT calculation with PBE was carried out for a relaxed structure of LaNi2Te.

The space group is P4/mmm (No. 123) and the conventional cell measures 3.626, 3.626 and 6.174 Å, with angles of 90.00, 90.00 and 90.00 degrees. The asymmetric unit holds La at (0.000, 0.000, 0.000), Ni at (0.500, 0.500, 0.294) and Te at (0.000, 0.000, 0.500).

The total magnetic moment is 0.0 μB/cell. The value obtained for the calculated total energy is -5.039 eV/atom.

---

Entry 11:
A plane-wave DFT calculation with PBE was carried out for a relaxed structure of Zr2HAu.

The space group is I-42d (No. 122) and the conventional cell measures 5.159, 5.159 and 11.454 Å, with angles of 90.00, 90.00 and 90.00 degrees. The asymmetric unit holds Zr at (0.099, 0.250, 0.125), H at (0.000, 0.000, 0.000) and Au at (0.000, 0.000, 0.500).

The total magnetic moment is 0.0 μB/cell. The value obtained for the calculated total energy is -5.890 eV/atom.

---

Entry 12:
A plane-wave DFT calculation with PBE was carried out for a relaxed structure of UAg2Cl6.

The space group is R-3 (No. 148, hexagonal axes) and the conventional cell measures 6.9423, 6.9423 and 18.9039 Å, with angles of 90.00, 90.00 and 120.00 degrees. The asymmetric unit holds U at (0.0000, 0.0000, 0.0000), Ag at (0.0000, 0.0000, 0.1921) and Cl at (0.0050, 0.6980, 0.0835).

The total magnetic moment is 6.0 μB/cell. The value obtained for the calculated total energy is -4.264 eV/atom.